## Cs3InI (GGA-PBE)

Data for crystalline Cs3InI at its relaxed geometry.

Output
N(E_F) = 4.03 states/eV per cell

Structure (CIF):
```
data_Cs3InI
_chemical_formula_sum 'Cs3 In1 I1'
_cell_length_a 7.286
_cell_length_b 7.286
_cell_length_c 7.286
_cell_angle_alpha 90.00
_cell_angle_beta 90.00
_cell_angle_gamma 90.00
_symmetry_space_group_name_H-M 'P m -3 m'
_symmetry_Int_Tables_number 221
_symmetry_space_group_name_Hall '-P 4 2 3'
loop_
_atom_site_label
_atom_site_type_symbol
_atom_site_fract_x
_atom_site_fract_y
_atom_site_fract_z
_atom_site_occupancy
Cs1 Cs 0.000 0.000 0.500 1
In1 In 0.000 0.000 0.000 1
I1 I 0.500 0.500 0.500 1
```

=====

## CsIn4I12 (GGA-PBE)

Data for crystalline CsIn4I12 at its relaxed geometry.

Output
N(E_F) = 8.60 states/eV per cell

Structure (CIF):
```
data_CsIn4I12
_chemical_formula_sum 'Cs2 In8 I24'
_cell_length_a 11.397
_cell_length_b 11.397
_cell_length_c 11.397
_cell_angle_alpha 90.00
_cell_angle_beta 90.00
_cell_angle_gamma 90.00
_symmetry_space_group_name_H-M 'I m -3'
_symmetry_Int_Tables_number 204
_symmetry_space_group_name_Hall '-I 2 2 3'
loop_
_atom_site_label
_atom_site_type_symbol
_atom_site_fract_x
_atom_site_fract_y
_atom_site_fract_z
_atom_site_occupancy
Cs1 Cs 0.000 0.000 0.000 1
In1 In 0.250 0.250 0.250 1
I1 I 0.000 0.307 0.185 1
```

=====

## CsIn2I2 (GGA-PBE)

Data for crystalline CsIn2I2 at its relaxed geometry.

Output
N(E_F) = 2.03 states/eV per cell

Structure (CIF):
```
data_CsIn2I2
_chemical_formula_sum 'Cs2 In4 I4'
_cell_length_a 4.517
_cell_length_b 4.517
_cell_length_c 20.682
_cell_angle_alpha 90.00
_cell_angle_beta 90.00
_cell_angle_gamma 90.00
_symmetry_space_group_name_H-M 'I 4/m m m'
_symmetry_Int_Tables_number 139
_symmetry_space_group_name_Hall '-I 4 2'
loop_
_atom_site_label
_atom_site_type_symbol
_atom_site_fract_x
_atom_site_fract_y
_atom_site_fract_z
_atom_site_occupancy
Cs1 Cs 0.000 0.000 0.000 1
In1 In 0.000 0.500 0.250 1
I1 I 0.000 0.000 0.390 1
```

=====

## Cs2In2I7 (GGA-PBE)

Data for crystalline Cs2In2I7 at its relaxed geometry.

Output
N(E_F) = 10.59 states/eV per cell

Structure (CIF):
```
data_Cs2In2I7
_chemical_formula_sum 'Cs4 In4 I14'
_cell_length_a 12.592
_cell_length_b 15.339
_cell_length_c 7.386
_cell_angle_alpha 90.00
_cell_angle_beta 101.44
_cell_angle_gamma 90.00
_symmetry_space_group_name_H-M 'C 1 2/m 1'
_symmetry_Int_Tables_number 12
loop_
_symmetry_equiv_pos_as_xyz
'x,y,z'
'-x,-y,-z'
'-x,y,-z'
'x,-y,z'
'x+1/2,y+1/2,z'
'-x+1/2,-y+1/2,-z'
'-x+1/2,y+1/2,-z'
'x+1/2,-y+1/2,z'
loop_
_atom_site_label
_atom_site_type_symbol
_atom_site_fract_x
_atom_site_fract_y
_atom_site_fract_z
_atom_site_occupancy
Cs1 Cs 0.000 0.214 0.000 1
In1 In 0.223 0.500 0.429 1
I1 I 0.000 0.500 0.500 1
I2 I 0.116 0.000 0.246 1
I3 I 0.249 0.153 0.772 1
```

=====

## CsIn3I8 (GGA-PBE)

Data for crystalline CsIn3I8 at its relaxed geometry.

Structure (CIF):
```
data_CsIn3I8
_chemical_formula_sum 'Cs1 In3 I8'
_cell_length_a 8.7748
_cell_length_b 8.7748
_cell_length_c 11.1955
_cell_angle_alpha 90.00
_cell_angle_beta 90.00
_cell_angle_gamma 120.00
_symmetry_space_group_name_H-M 'P -3 m 1'
_symmetry_Int_Tables_number 164
_symmetry_space_group_name_Hall '-P 3 2"'
loop_
_atom_site_label
_atom_site_type_symbol
_atom_site_fract_x
_atom_site_fract_y
_atom_site_fract_z
_atom_site_occupancy
Cs1 Cs 0.0000 0.0000 0.0000 1
In1 In 0.0000 0.0000 0.5000 1
In2 In 0.3333 0.6667 0.7975 1
I1 I 0.1614 0.3229 0.7124 1
I2 I 0.3333 0.6667 0.0412 1
```

=====

## Cs6In3I14 (GGA-PBE)

Data for crystalline Cs6In3I14 at its relaxed geometry.

Output
N(E_F) = 6.82 states/eV per cell

Structure (CIF):
```
data_Cs6In3I14
_chemical_formula_sum 'Cs6 In3 I14'
_cell_length_a 14.1021
_cell_length_b 14.1021
_cell_length_c 7.4067
_cell_angle_alpha 90.00
_cell_angle_beta 90.00
_cell_angle_gamma 120.00
_symmetry_space_group_name_H-M 'P 3'
_symmetry_Int_Tables_number 143
loop_
_symmetry_equiv_pos_as_xyz
'x,y,z'
'-y,x-y,z'
'-x+y,-x,z'
loop_
_atom_site_label
_atom_site_type_symbol
_atom_site_fract_x
_atom_site_fract_y
_atom_site_fract_z
_atom_site_occupancy
Cs1 Cs 0.0110 0.5599 0.0000 1
Cs2 Cs 0.3215 0.1085 0.4688 1
In1 In 0.0000 0.0000 0.8940 1
In2 In 0.3333 0.6667 0.4178 1
In3 In 0.6667 0.3333 0.7380 1
I1 I 0.0000 0.0000 0.2669 1
I2 I 0.0771 0.8667 0.7657 1
I3 I 0.1996 0.4571 0.2849 1
I4 I 0.3333 0.6667 0.7890 1
I5 I 0.4422 0.1850 0.9650 1
I6 I 0.5196 0.4107 0.5113 1
```

=====

## Cs3In5I12 (GGA-PBE)

Data for crystalline Cs3In5I12 at its relaxed geometry.

Output
N(E_F) = 43.76 states/eV per cell

Structure (CIF):
```
data_Cs3In5I12
_chemical_formula_sum 'Cs24 In40 I96'
_cell_length_a 20.504
_cell_length_b 20.504
_cell_length_c 20.504
_cell_angle_alpha 90.00
_cell_angle_beta 90.00
_cell_angle_gamma 90.00
_symmetry_space_group_name_H-M 'I a -3 d'
_symmetry_Int_Tables_number 230
_symmetry_space_group_name_Hall '-I 4bd 2c 3'
loop_
_atom_site_label
_atom_site_type_symbol
_atom_site_fract_x
_atom_site_fract_y
_atom_site_fract_z
_atom_site_occupancy
Cs1 Cs 0.000 0.250 0.125 1
In1 In 0.000 0.000 0.000 1
In2 In 0.000 0.250 0.375 1
I1 I 0.036 0.051 0.650 1
```

=====

## Cs2In3I6 (GGA-PBE)

Data for crystalline Cs2In3I6 at its relaxed geometry.

Output
N(E_F) = 3.15 states/eV per cell

Structure (CIF):
```
data_Cs2In3I6
_chemical_formula_sum 'Cs2 In3 I6'
_cell_length_a 9.8356
_cell_length_b 9.8356
_cell_length_c 6.2529
_cell_angle_alpha 90.00
_cell_angle_beta 90.00
_cell_angle_gamma 120.00
_symmetry_space_group_name_H-M 'P -6 2 m'
_symmetry_Int_Tables_number 189
_symmetry_space_group_name_Hall 'P -6 -2'
loop_
_atom_site_label
_atom_site_type_symbol
_atom_site_fract_x
_atom_site_fract_y
_atom_site_fract_z
_atom_site_occupancy
Cs1 Cs 0.3333 0.6667 0.0000 1
In1 In 0.0000 0.7418 0.5000 1
I1 I 0.0000 0.4175 0.5000 1
I2 I 0.0000 0.7545 0.0000 1
```

=====

## Cs3InI4 (GGA-PBE)

Data for crystalline Cs3InI4 at its relaxed geometry.

Output
N(E_F) = 0.00 states/eV per cell

Structure (CIF):
```
data_Cs3InI4
_chemical_formula_sum 'Cs6 In2 I8'
_cell_length_a 10.811
_cell_length_b 15.282
_cell_length_c 5.413
_cell_angle_alpha 90.00
_cell_angle_beta 90.00
_cell_angle_gamma 90.00
_symmetry_space_group_name_H-M 'C m m m'
_symmetry_Int_Tables_number 65
_symmetry_space_group_name_Hall '-C 2 2'
loop_
_atom_site_label
_atom_site_type_symbol
_atom_site_fract_x
_atom_site_fract_y
_atom_site_fract_z
_atom_site_occupancy
Cs1 Cs 0.000 0.000 0.000 1
Cs2 Cs 0.250 0.250 0.500 1
In1 In 0.000 0.500 0.000 1
I1 I 0.000 0.261 0.000 1
I2 I 0.231 0.500 0.500 1
```

=====

## Cs2In2I7 (GGA-PBE)

Data for crystalline Cs2In2I7 at its relaxed geometry.

Output
N(E_F) = 10.51 states/eV per cell

Structure (CIF):
```
data_Cs2In2I7
_chemical_formula_sum 'Cs4 In4 I14'
_cell_length_a 7.222
_cell_length_b 18.719
_cell_length_c 9.969
_cell_angle_alpha 90.00
_cell_angle_beta 102.56
_cell_angle_gamma 90.00
_symmetry_space_group_name_H-M 'P 1 21/c 1'
_symmetry_Int_Tables_number 14
loop_
_symmetry_equiv_pos_as_xyz
'x,y,z'
'-x,-y,-z'
'-x,y+1/2,-z+1/2'
'x,-y+1/2,z+1/2'
loop_
_atom_site_label
_atom_site_type_symbol
_atom_site_fract_x
_atom_site_fract_y
_atom_site_fract_z
_atom_site_occupancy
Cs1 Cs 0.143 0.149 0.449 1
In1 In 0.307 0.610 0.629 1
I1 I 0.035 0.154 0.045 1
I2 I 0.233 0.554 0.879 1
I3 I 0.478 0.234 0.773 1
I4 I 0.500 0.000 0.000 1
```

=====

## Cs4In3I10 (GGA-PBE)

Data for crystalline Cs4In3I10 at its relaxed geometry.

Output
N(E_F) = 4.03 states/eV per cell

Structure (CIF):
```
data_Cs4In3I10
_chemical_formula_sum 'Cs8 In6 I20'
_cell_length_a 6.139
_cell_length_b 6.139
_cell_length_c 44.192
_cell_angle_alpha 90.00
_cell_angle_beta 90.00
_cell_angle_gamma 90.00
_symmetry_space_group_name_H-M 'I 4/m m m'
_symmetry_Int_Tables_number 139
_symmetry_space_group_name_Hall '-I 4 2'
loop_
_atom_site_label
_atom_site_type_symbol
_atom_site_fract_x
_atom_site_fract_y
_atom_site_fract_z
_atom_site_occupancy
Cs1 Cs 0.000 0.000 0.068 1
Cs2 Cs 0.000 0.000 0.200 1
In1 In 0.000 0.000 0.357 1
In2 In 0.000 0.000 0.500 1
I1 I 0.000 0.000 0.288 1
I2 I 0.000 0.000 0.431 1
I3 I 0.000 0.500 0.000 1
I4 I 0.000 0.500 0.139 1
```

=====

## Cs3In2I4 (GGA-PBE)

Data for crystalline Cs3In2I4 at its relaxed geometry.

Output
N(E_F) = 2.83 states/eV per cell

Structure (CIF):
```
data_Cs3In2I4
_chemical_formula_sum 'Cs12 In8 I16'
_cell_length_a 17.664
_cell_length_b 14.366
_cell_length_c 7.691
_cell_angle_alpha 90.00
_cell_angle_beta 95.57
_cell_angle_gamma 90.00
_symmetry_space_group_name_H-M 'C 1 2/c 1'
_symmetry_Int_Tables_number 15
loop_
_symmetry_equiv_pos_as_xyz
'x,y,z'
'-x,-y,-z'
'-x,y,-z+1/2'
'x,-y,z+1/2'
'x+1/2,y+1/2,z'
'-x+1/2,-y+1/2,-z'
'-x+1/2,y+1/2,-z+1/2'
'x+1/2,-y+1/2,z+1/2'
loop_
_atom_site_label
_atom_site_type_symbol
_atom_site_fract_x
_atom_site_fract_y
_atom_site_fract_z
_atom_site_occupancy
Cs1 Cs 0.000 0.101 0.250 1
Cs2 Cs 0.140 0.383 0.546 1
In1 In 0.188 0.177 0.038 1
I1 I 0.080 0.355 0.032 1
I2 I 0.155 0.117 0.643 1
```

=====

| no. | energy (eV for the cell shown) | formation energy from raw total energies (meV/atom) |
| --- | --- | --- |
| 1 | -8.5 | -332 |
| 2 | -78.8 | -528 |
| 3 | -25.8 | -694 |
| 4 | -54.8 | -852 |
| 5 | -29.6 | -676 |
| 6 | -59.4 | -1058 |
| 7 | -404.1 | -783 |
| 8 | -28.2 | -813 |
| 9 | -43.2 | -1262 |
| 10 | -54.9 | -857 |
| 11 | -88.1 | -997 |
| 12 | -91.7 | -965 |